1.
Material: MgFe2NiH
Method: DFT, PBE
State: optimized geometry Values from VASP.

Output
- density (g/cm³) = 6.2
- DOS at the Fermi energy (states/eV/cell) = 3.6

The structure in Quantum ESPRESSO input format:
```
&SYSTEM
  ibrav = 0, nat = 5, ntyp = 4
/
ATOMIC_SPECIES
Ni 58.69 Ni.upf
Fe 55.84 Fe.upf
H 1.01 H.upf
Mg 24.30 Mg.upf
ATOMIC_POSITIONS crystal
Ni 0.000 0.000 0.500
Fe 0.000 0.500 0.000
Fe 0.500 0.000 0.000
H 0.000 0.000 0.000
Mg 0.500 0.500 0.500
CELL_PARAMETERS angstrom
3.666 0.000 0.000
0.000 3.666 0.000
0.000 0.000 3.925
```



2.
Material: TlGaHg
Method: DFT, PBE
State: optimized geometry Values from VASP.

Output
- density (g/cm³) = 9.9
- DOS at the Fermi energy (states/eV/cell) = 2.9
- formation energy (kcal/mol of atoms) = 1.351

The structure in Quantum ESPRESSO input format:
```
&SYSTEM
  ibrav = 0, nat = 6, ntyp = 3
/
ATOMIC_SPECIES
Ga 69.72 Ga.upf
Hg 200.59 Hg.upf
Tl 204.38 Tl.upf
ATOMIC_POSITIONS crystal
Ga 0.827 0.477 0.801
Ga 0.327 0.522 0.104
Hg 0.828 0.849 0.073
Hg 0.328 0.149 0.834
Tl 0.828 0.233 0.370
Tl 0.327 0.766 0.537
CELL_PARAMETERS angstrom
4.042 0.003 0.002
-0.006 6.655 -0.010
-0.006 0.646 5.889
```



3.
Material: SbOs
Method: DFT, PBE
State: optimized geometry Values from VASP.

Output
- density (g/cm³) = 8.3
- energy relative to the elements, uncorrected (meV/atom) = 688
- DOS at the Fermi energy (states/eV/cell) = 14.5

The structure in Quantum ESPRESSO input format:
```
&SYSTEM
  ibrav = 0, nat = 16, ntyp = 2
/
ATOMIC_SPECIES
Sb 121.76 Sb.upf
Os 190.23 Os.upf
ATOMIC_POSITIONS crystal
Sb 0.306 0.694 0.306
Sb 0.806 0.806 0.194
Sb 0.194 0.806 0.806
Sb 0.806 0.194 0.806
Sb 0.194 0.194 0.194
Sb 0.694 0.306 0.306
Sb 0.694 0.694 0.694
Sb 0.306 0.306 0.694
Os 0.378 0.378 0.378
Os 0.878 0.122 0.122
Os 0.378 0.622 0.622
Os 0.622 0.622 0.378
Os 0.878 0.878 0.878
Os 0.122 0.122 0.878
Os 0.622 0.378 0.622
Os 0.122 0.878 0.122
CELL_PARAMETERS angstrom
7.940 0.000 0.000
0.000 7.940 0.000
0.000 0.000 7.940
```



4.
Material: Ho2LuSi
Method: DFT, PBE
State: optimized geometry Values from VASP.

Output
- density (g/cm³) = 8.0
- energy relative to the elements, uncorrected (meV/atom) = -131
- DOS at the Fermi energy (states/eV/cell) = 5.4

The structure in Quantum ESPRESSO input format:
```
&SYSTEM
  ibrav = 0, nat = 4, ntyp = 3
/
ATOMIC_SPECIES
Ho 164.93 Ho.upf
Si 28.09 Si.upf
Lu 174.97 Lu.upf
ATOMIC_POSITIONS crystal
Ho 0.267 0.267 0.200
Ho 0.733 0.733 0.800
Si 0.000 0.000 0.000
Lu 0.500 0.500 0.500
CELL_PARAMETERS angstrom
3.596 0.000 0.000
1.798 3.114 0.000
1.798 1.038 9.868
```



5.
Material: PtI3Br
Method: DFT, PBE
State: optimized geometry Values from VASP.

Output
- density (g/cm³) = 5.3
- energy relative to the elements, uncorrected (meV/atom) = -103

The structure in Quantum ESPRESSO input format:
```
&SYSTEM
  ibrav = 0, nat = 10, ntyp = 3
/
ATOMIC_SPECIES
Pt 195.08 Pt.upf
I 126.90 I.upf
Br 79.90 Br.upf
ATOMIC_POSITIONS crystal
Pt 0.119 0.388 0.693
Pt 0.569 0.373 0.366
I 0.414 0.188 0.898
I 0.799 0.580 0.481
I 0.381 0.590 0.785
I 0.889 0.181 0.578
I 0.274 0.573 0.161
I 0.307 0.171 0.274
Br 0.800 0.881 0.218
Br 0.888 0.879 0.841
CELL_PARAMETERS angstrom
-2.035 4.105 1.380
-8.611 0.897 -1.439
-1.526 -7.912 8.361
```



6.
Material: LiNi4Ag
Method: DFT, PBE
State: optimized geometry Values from VASP.

Output
- density (g/cm³) = 7.6
- DOS at the Fermi energy (states/eV/cell) = 2.0
- formation energy (kcal/mol of atoms) = 1.109

The structure in Quantum ESPRESSO input format:
```
&SYSTEM
  ibrav = 0, nat = 6, ntyp = 3
/
ATOMIC_SPECIES
Ni 58.69 Ni.upf
Li 6.94 Li.upf
Ag 107.87 Ag.upf
ATOMIC_POSITIONS crystal
Ni 0.375 0.375 0.375
Ni 0.375 0.375 0.876
Ni 0.876 0.375 0.375
Ni 0.375 0.876 0.375
Li 0.000 0.000 0.000
Ag 0.750 0.750 0.750
CELL_PARAMETERS angstrom
0.000 3.366 3.366
3.366 0.000 3.366
3.366 3.366 0.000
```



7.
Material: RbInAg3
Method: DFT, PBE
State: optimized geometry Values from VASP.

Output
- density (g/cm³) = 5.9
- DOS at the Fermi energy (states/eV/cell) = 9.2
- formation energy (kcal/mol of atoms) = 0.981

The structure in Quantum ESPRESSO input format:
```
&SYSTEM
  ibrav = 0, nat = 20, ntyp = 3
/
ATOMIC_SPECIES
Ag 107.87 Ag.upf
In 114.82 In.upf
Rb 85.47 Rb.upf
ATOMIC_POSITIONS crystal
Ag 0.001 0.870 0.862
Ag 0.480 0.643 0.080
Ag 0.301 0.093 0.904
Ag 0.999 0.130 0.138
Ag 0.199 0.093 0.404
Ag 0.499 0.870 0.362
Ag 0.501 0.130 0.638
Ag 0.699 0.907 0.096
Ag 0.020 0.643 0.580
Ag 0.520 0.357 0.920
Ag 0.801 0.907 0.596
Ag 0.980 0.357 0.420
In 0.789 0.093 0.406
In 0.211 0.907 0.594
In 0.289 0.907 0.094
In 0.711 0.093 0.906
Rb 0.530 0.639 0.710
Rb 0.470 0.361 0.290
Rb 0.030 0.361 0.790
Rb 0.970 0.639 0.210
CELL_PARAMETERS angstrom
7.003 0.000 0.000
0.000 9.591 -0.501
0.000 -2.493 8.951
```



8.
Material: ZrI2F
Method: DFT, PBE
State: optimized geometry Values from VASP.

Output
- density (g/cm³) = 6.6
- energy relative to the elements, uncorrected (meV/atom) = -861
- DOS at the Fermi energy (states/eV/cell) = 5.1

The structure in Quantum ESPRESSO input format:
```
&SYSTEM
  ibrav = 0, nat = 4, ntyp = 3
/
ATOMIC_SPECIES
I 126.90 I.upf
Zr 91.22 Zr.upf
F 19.00 F.upf
ATOMIC_POSITIONS crystal
I 0.750 0.750 0.750
I 0.250 0.250 0.250
Zr 0.500 0.500 0.500
F 0.000 0.000 0.000
CELL_PARAMETERS angstrom
0.000 3.584 3.584
3.584 0.000 3.584
3.584 3.584 0.000
```



9.
Material: LaTb14Y
Method: DFT, PBE
State: optimized geometry Values from VASP.

Output
- density (g/cm³) = 7.9
- DOS at the Fermi energy (states/eV/cell) = 18.0
- formation energy (kcal/mol of atoms) = 0.100

The structure in Quantum ESPRESSO input format:
```
&SYSTEM
  ibrav = 0, nat = 16, ntyp = 3
/
ATOMIC_SPECIES
Y 88.91 Y.upf
Tb 158.93 Tb.upf
La 138.91 La.upf
ATOMIC_POSITIONS crystal
Y 0.208 0.792 0.500
Tb 0.375 0.625 0.250
Tb 0.708 0.792 0.500
Tb 0.875 0.626 0.753
Tb 0.042 0.958 0.000
Tb 0.374 0.125 0.247
Tb 0.541 0.459 0.000
Tb 0.374 0.125 0.753
Tb 0.875 0.626 0.247
Tb 0.208 0.292 0.500
Tb 0.875 0.125 0.248
Tb 0.375 0.625 0.750
Tb 0.542 0.957 0.000
Tb 0.875 0.125 0.752
Tb 0.043 0.458 0.000
La 0.708 0.292 0.500
CELL_PARAMETERS angstrom
7.125 -0.863 0.000
-2.816 6.602 0.000
0.000 0.000 11.564
```



10.
Material: Cr2HgSe3S
Method: DFT, PBE
State: optimized geometry Values from VASP.

Output
- density (g/cm³) = 6.1
- energy relative to the elements, uncorrected (meV/atom) = -474
- DOS at the Fermi energy (states/eV/cell) = 2.8

The structure in Quantum ESPRESSO input format:
```
&SYSTEM
  ibrav = 0, nat = 14, ntyp = 4
/
ATOMIC_SPECIES
Cr 52.00 Cr.upf
Se 78.96 Se.upf
S 32.06 S.upf
Hg 200.59 Hg.upf
ATOMIC_POSITIONS crystal
Cr 0.759 0.000 0.758
Cr 0.755 0.004 0.249
Cr 0.242 0.000 0.242
Cr 0.755 0.506 0.751
Se 0.517 0.237 0.280
Se 0.520 0.806 0.286
Se 0.957 0.237 0.720
Se 0.541 0.764 0.778
Se 0.520 0.234 0.714
Se 0.986 0.764 0.222
S 0.980 0.769 0.789
S 0.980 0.191 0.211
Hg 0.106 0.606 0.500
Hg 0.382 0.382 0.000
CELL_PARAMETERS angstrom
-2.633 2.555 6.660
-7.136 -1.068 -2.400
4.965 -5.756 -0.196
```



11.
Material: TbCe2Tc
Method: DFT, PBE
State: optimized geometry Values from VASP.

Output
- density (g/cm³) = 7.9
- DOS at the Fermi energy (states/eV/cell) = 8.2
- formation energy (kcal/mol of atoms) = 3.261

The structure in Quantum ESPRESSO input format:
```
&SYSTEM
  ibrav = 0, nat = 4, ntyp = 3
/
ATOMIC_SPECIES
Ce 140.12 Ce.upf
Tc 98.00 Tc.upf
Tb 158.93 Tb.upf
ATOMIC_POSITIONS crystal
Ce 0.061 0.061 0.818
Ce 0.273 0.273 0.180
Tc 0.665 0.665 0.005
Tb 0.501 0.501 0.497
CELL_PARAMETERS angstrom
3.867 0.000 0.000
1.934 3.349 0.000
1.934 1.116 8.707
```



12.
Material: NaNdH2S2O9
Method: DFT, PBE
State: optimized geometry Values from VASP.

Output
- density (g/cm³) = 3.4
- DOS at the Fermi energy (states/eV/cell) = 0.0

The structure in Quantum ESPRESSO input format:
```
&SYSTEM
  ibrav = 0, nat = 45, ntyp = 5
/
ATOMIC_SPECIES
O 16.00 O.upf
H 1.01 H.upf
Na 22.99 Na.upf
S 32.06 S.upf
Nd 144.24 Nd.upf
ATOMIC_POSITIONS crystal
O 0.499 0.879 0.016
O 0.644 0.133 0.163
O 0.167 0.412 0.969
O 0.246 0.833 0.636
O 0.833 0.246 0.364
O 0.356 0.489 0.170
O 0.412 0.167 0.031
O 0.380 0.501 0.683
O 0.128 0.390 0.490
O 0.082 0.000 0.333
O 0.511 0.867 0.503
O 0.872 0.262 0.843
O 0.879 0.499 0.984
O 0.918 0.918 0.000
O 0.738 0.610 0.176
O 0.489 0.356 0.830
O 0.121 0.620 0.350
O 0.867 0.511 0.497
O 0.754 0.588 0.698
O 0.620 0.121 0.650
O 0.501 0.380 0.317
O 0.588 0.754 0.302
O 0.390 0.128 0.510
O 0.262 0.872 0.157
O 0.610 0.738 0.824
O 0.000 0.082 0.667
O 0.133 0.644 0.837
H 0.947 0.899 0.297
H 0.899 0.947 0.703
H 0.951 0.053 0.964
H 0.049 0.101 0.370
H 0.101 0.049 0.630
H 0.053 0.951 0.036
Na 0.475 0.000 0.833
Na 0.525 0.525 0.500
Na 0.000 0.475 0.167
S 0.443 0.987 0.576
S 0.013 0.457 0.909
S 0.457 0.013 0.091
S 0.543 0.557 0.242
S 0.557 0.543 0.758
S 0.987 0.443 0.424
Nd 0.436 0.000 0.333
Nd 0.564 0.564 0.000
Nd 0.000 0.436 0.667
CELL_PARAMETERS angstrom
7.049 0.000 0.000
-3.525 6.105 0.000
0.000 0.000 13.017
```



13.
Material: FeCo6Ni
Method: DFT, PBE
State: optimized geometry Values from VASP.

Output
- density (g/cm³) = 6.7
- DOS at the Fermi energy (states/eV/cell) = 8.7
- formation energy (kcal/mol of atoms) = 15.663

The structure in Quantum ESPRESSO input format:
```
&SYSTEM
  ibrav = 0, nat = 8, ntyp = 3
/
ATOMIC_SPECIES
Co 58.93 Co.upf
Fe 55.84 Fe.upf
Ni 58.69 Ni.upf
ATOMIC_POSITIONS crystal
Co 0.934 0.443 0.690
Co 0.066 0.066 0.310
Co 0.066 0.557 0.310
Co 0.557 0.066 0.310
Co 0.934 0.934 0.690
Co 0.443 0.934 0.690
Fe 0.500 0.500 0.500
Ni 0.000 0.000 0.000
CELL_PARAMETERS angstrom
-0.357 1.178 4.524
1.503 -2.953 3.317
5.923 1.971 2.384
```



14.
Material: SrU2Cl11
Method: DFT, PBE
State: optimized geometry Values from VASP.

Output
- density (g/cm³) = 3.3
- energy relative to the elements, uncorrected (meV/atom) = -1786
- DOS at the Fermi energy (states/eV/cell) = 13.0

The structure in Quantum ESPRESSO input format:
```
&SYSTEM
  ibrav = 0, nat = 28, ntyp = 3
/
ATOMIC_SPECIES
U 238.03 U.upf
Cl 35.45 Cl.upf
Sr 87.62 Sr.upf
ATOMIC_POSITIONS crystal
U 0.664 0.664 0.336
U 0.836 0.164 0.836
U 0.336 0.336 0.664
U 0.164 0.836 0.164
Cl 0.085 0.573 0.694
Cl 0.647 0.694 0.573
Cl 0.500 0.500 0.500
Cl 0.196 0.587 0.145
Cl 0.927 0.855 0.413
Cl 0.915 0.427 0.306
Cl 0.073 0.145 0.587
Cl 0.353 0.306 0.427
Cl 0.310 0.690 0.310
Cl 0.304 0.355 0.913
Cl 0.573 0.087 0.645
Cl 0.415 0.806 0.927
Cl 0.147 0.073 0.194
Cl 0.190 0.190 0.810
Cl 0.810 0.810 0.190
Cl 0.000 0.000 0.000
Cl 0.804 0.413 0.855
Cl 0.690 0.310 0.690
Cl 0.696 0.645 0.087
Cl 0.853 0.927 0.806
Cl 0.427 0.913 0.355
Cl 0.585 0.194 0.073
Sr 0.250 0.250 0.250
Sr 0.750 0.750 0.750
CELL_PARAMETERS angstrom
-9.851 5.029 4.302
-1.095 3.058 10.288
-1.202 10.658 1.160
```



15.
Material: K2Rb2Sc
Method: DFT, PBE
State: optimized geometry Values from VASP.

Output
- density (g/cm³) = 1.4
- DOS at the Fermi energy (states/eV/cell) = 7.1
- formation energy (kcal/mol of atoms) = 15.359

The structure in Quantum ESPRESSO input format:
```
&SYSTEM
  ibrav = 0, nat = 5, ntyp = 3
/
ATOMIC_SPECIES
Rb 85.47 Rb.upf
K 39.10 K.upf
Sc 44.96 Sc.upf
ATOMIC_POSITIONS crystal
Rb 0.250 0.750 0.500
Rb 0.750 0.250 0.500
K 0.415 0.415 0.170
K 0.585 0.585 0.830
Sc 0.000 0.000 0.000
CELL_PARAMETERS angstrom
-3.325 2.035 4.076
-4.463 -0.442 -3.420
-5.627 -9.134 3.872
```



16.
Material: CdGeSb2
Method: DFT, PBE
State: optimized geometry Values from VASP.

Output
- density (g/cm³) = 6.7
- energy relative to the elements, uncorrected (meV/atom) = 146
- DOS at the Fermi energy (states/eV/cell) = 2.7

The structure in Quantum ESPRESSO input format:
```
&SYSTEM
  ibrav = 0, nat = 4, ntyp = 3
/
ATOMIC_SPECIES
Sb 121.76 Sb.upf
Ge 72.64 Ge.upf
Cd 112.41 Cd.upf
ATOMIC_POSITIONS crystal
Sb 0.077 0.077 0.769
Sb 0.257 0.257 0.230
Ge 0.667 0.667 0.999
Cd 0.499 0.499 0.502
CELL_PARAMETERS angstrom
-3.312 0.026 -2.356
-2.334 -3.318 -0.262
-5.914 1.290 4.821
```



17.
Material: HgBi2Cl8
Method: DFT, PBE
State: optimized geometry Values from VASP.

Output
- density (g/cm³) = 3.3
- energy relative to the elements, uncorrected (meV/atom) = -781
- DOS at the Fermi energy (states/eV/cell) = 0.0

The structure in Quantum ESPRESSO input format:
```
&SYSTEM
  ibrav = 0, nat = 11, ntyp = 3
/
ATOMIC_SPECIES
Cl 35.45 Cl.upf
Bi 208.98 Bi.upf
Hg 200.59 Hg.upf
ATOMIC_POSITIONS crystal
Cl 0.257 0.126 0.698
Cl 0.214 0.164 0.164
Cl 0.228 0.670 0.670
Cl 0.786 0.836 0.836
Cl 0.772 0.330 0.330
Cl 0.743 0.874 0.302
Cl 0.743 0.302 0.874
Cl 0.257 0.698 0.126
Bi 0.592 0.147 0.147
Bi 0.408 0.853 0.853
Hg 0.000 0.000 0.000
CELL_PARAMETERS angstrom
7.874 -1.860 -1.299
-0.801 8.249 0.586
-0.801 3.389 7.543
```



18.
Material: TbGe2Pd4
Method: DFT, PBE
State: optimized geometry Values from VASP.

Output
- density (g/cm³) = 10.0
- DOS at the Fermi energy (states/eV/cell) = 15.7
- formation energy (kcal/mol of atoms) = -15.924

The structure in Quantum ESPRESSO input format:
```
&SYSTEM
  ibrav = 0, nat = 28, ntyp = 3
/
ATOMIC_SPECIES
Tb 158.93 Tb.upf
Ge 72.64 Ge.upf
Pd 106.42 Pd.upf
ATOMIC_POSITIONS crystal
Tb 0.750 0.508 0.140
Tb 0.750 0.992 0.640
Tb 0.250 0.492 0.860
Tb 0.250 0.008 0.360
Ge 0.750 0.012 0.221
Ge 0.750 0.488 0.721
Ge 0.250 0.988 0.779
Ge 0.250 0.763 0.043
Ge 0.750 0.237 0.957
Ge 0.250 0.512 0.279
Ge 0.250 0.737 0.543
Ge 0.750 0.263 0.457
Pd 0.750 0.781 0.811
Pd 0.250 0.993 0.927
Pd 0.250 0.360 0.026
Pd 0.250 0.219 0.189
Pd 0.750 0.860 0.474
Pd 0.750 0.197 0.810
Pd 0.750 0.493 0.573
Pd 0.250 0.803 0.190
Pd 0.250 0.281 0.689
Pd 0.250 0.697 0.690
Pd 0.250 0.140 0.526
Pd 0.750 0.007 0.073
Pd 0.250 0.507 0.427
Pd 0.750 0.303 0.310
Pd 0.750 0.640 0.974
Pd 0.750 0.719 0.311
CELL_PARAMETERS angstrom
4.231 0.000 0.000
0.000 6.711 0.000
0.000 0.000 17.161
```



19.
Material: TiZn2Pd2
Method: DFT, PBE
State: optimized geometry Values from VASP.

Output
- density (g/cm³) = 8.4
- DOS at the Fermi energy (states/eV/cell) = 9.7
- formation energy (kcal/mol of atoms) = -7.917

The structure in Quantum ESPRESSO input format:
```
&SYSTEM
  ibrav = 0, nat = 10, ntyp = 3
/
ATOMIC_SPECIES
Zn 65.41 Zn.upf
Pd 106.42 Pd.upf
Ti 47.87 Ti.upf
ATOMIC_POSITIONS crystal
Zn 0.842 0.342 0.500
Zn 0.658 0.842 0.500
Zn 0.342 0.158 0.500
Zn 0.158 0.658 0.500
Pd 0.640 0.140 0.000
Pd 0.360 0.860 0.000
Pd 0.140 0.360 0.000
Pd 0.860 0.640 0.000
Ti 0.500 0.500 0.000
Ti 0.000 0.000 0.000
CELL_PARAMETERS angstrom
-4.477 3.294 -4.859
-2.936 -6.548 -1.733
-1.957 0.339 2.034
```



20.
Material: La2SmDySe4
Method: DFT, PBE
State: optimized geometry Values from VASP.

Output
- density (g/cm³) = 7.1
- energy relative to the elements, uncorrected (meV/atom) = -1894
- DOS at the Fermi energy (states/eV/cell) = 5.3

The structure in Quantum ESPRESSO input format:
```
&SYSTEM
  ibrav = 0, nat = 8, ntyp = 4
/
ATOMIC_SPECIES
Se 78.96 Se.upf
Sm 150.36 Sm.upf
La 138.91 La.upf
Dy 162.50 Dy.upf
ATOMIC_POSITIONS crystal
Se 0.000 0.250 0.763
Se 0.500 0.240 0.234
Se 0.000 0.750 0.237
Se 0.500 0.760 0.766
Sm 0.500 0.500 0.000
La 0.000 0.500 0.500
La 0.500 0.000 0.500
Dy 0.000 0.000 0.000
CELL_PARAMETERS angstrom
-0.187 3.745 -1.826
-7.206 -0.765 -0.830
1.331 3.234 6.495
```



Here are the calculated DFT total energy numbers, same order: -27.5 -11.0 -111.8 -19.6 -25.8 -27.6 -48.2 -17.0 -76.1 -74.9 -26.3 -280.7 -51.4 -139.2 -7.1 -13.2 -31.4 -157.9 -45.1 -48.3 (eV for the cell shown).